(1)
# CuHgRu2 SCAN single point on PBEsol structure
data_CuHgRu2
_chemical_formula_sum 'Cu2 Hg2 Ru4'
_symmetry_space_group_name_H-M 'I -4 m 2'
_symmetry_Int_Tables_number 119
_symmetry_space_group_name_Hall 'I -4 -2'
_cell_length_a 3.9038
_cell_length_b 3.9038
_cell_length_c 7.5521
_cell_angle_alpha 90.00
_cell_angle_beta 90.00
_cell_angle_gamma 90.00
loop_
_atom_site_label
_atom_site_type_symbol
_atom_site_fract_x
_atom_site_fract_y
_atom_site_fract_z
Cu1 Cu 0.0000 0.0000 0.0000
Hg1 Hg 0.0000 0.5000 0.2500
Ru1 Ru 0.0000 0.0000 0.5000
Ru2 Ru 0.0000 0.5000 0.7500
# ΔE_f = 11.8 kcal/mol of atoms
# E_tot = -37.743 eV/atom
# M_tot = 0.0001 μB per atom

=====

(2)
# Cu2HgS SCAN single point on PBEsol structure
data_Cu2HgS
_chemical_formula_sum 'Cu8 Hg4 S4'
_symmetry_space_group_name_H-M 'I -4 2 d'
_symmetry_Int_Tables_number 122
_symmetry_space_group_name_Hall 'I -4 2bw'
_cell_length_a 5.1025
_cell_length_b 5.1025
_cell_length_c 12.5251
_cell_angle_alpha 90.00
_cell_angle_beta 90.00
_cell_angle_gamma 90.00
loop_
_atom_site_label
_atom_site_type_symbol
_atom_site_fract_x
_atom_site_fract_y
_atom_site_fract_z
Cu1 Cu 0.1379 0.2500 0.1250
Hg1 Hg 0.0000 0.0000 0.5000
S1 S 0.0000 0.0000 0.0000
# E_tot = -27.128 eV/atom
# Formation energy (no corrections) = -0.080 eV per atom
# M_tot = 0.0000 μB per atom